Entry 1:
Density functional theory data (PBE) for an optimized crystal structure of NiMoRu2.

abc: 4.575 4.575 2.767
angles: 90.00 90.00 107.25
Atoms (fractional coordinates):
Ni  0.000  0.000  0.000
Mo  0.500  0.500  0.000
Ru  0.000  0.500  0.500
Ru  0.500  0.000  0.500

E above lowest polymorph	141	meV/atom
calculated formation energy	126	meV per atom
total magnetic moment	0.00	μB/f.u.



Entry 2:
Density functional theory data (PBE) for an optimized crystal structure of NiMoRu2.

abc: 2.732 2.732 7.387
angles: 90.00 90.00 90.00
Atoms (fractional coordinates):
Ni  0.000  0.000  0.000
Mo  0.000  0.000  0.500
Ru  0.500  0.500  0.238
Ru  0.500  0.500  0.762

E above lowest polymorph	145	meV/atom
calculated formation energy	131	meV per atom
total magnetic moment	0.00	μB/f.u.



Entry 3:
Density functional theory data (PBE) for an optimized crystal structure of Ni2MoRu.

abc: 4.564 4.564 4.575
angles: 99.93 99.93 33.92
Atoms (fractional coordinates):
Ni  0.247  0.247  0.250
Ni  0.753  0.753  0.750
Mo  0.000  0.000  0.500
Ru  0.500  0.500  0.000

calculated formation energy	115	meV per atom
total magnetic moment	0.00	μB/f.u.



Entry 4:
Density functional theory data (PBE) for an optimized crystal structure of NiMoRu.

abc: 4.655 4.655 4.729
angles: 101.43 101.43 119.49
Atoms (fractional coordinates):
Ni  0.243  0.757  0.750
Ni  0.757  0.243  0.250
Mo  0.101  0.899  0.250
Mo  0.899  0.101  0.750
Ru  0.422  0.578  0.250
Ru  0.578  0.422  0.750

E above lowest polymorph	59	meV/atom
calculated formation energy	3	meV per atom
total magnetic moment	0.00	μB/f.u.



Repeat the third record exactly.
Density functional theory data (PBE) for an optimized crystal structure of Ni2MoRu.

abc: 4.564 4.564 4.575
angles: 99.93 99.93 33.92
Atoms (fractional coordinates):
Ni  0.247  0.247  0.250
Ni  0.753  0.753  0.750
Mo  0.000  0.000  0.500
Ru  0.500  0.500  0.000

calculated formation energy	115	meV per atom
total magnetic moment	0.00	μB/f.u.



Among the records above, which one has the highest calculated formation energy? number 2



What did the fourth record say?
Density functional theory data (PBE) for an optimized crystal structure of NiMoRu.

abc: 4.655 4.655 4.729
angles: 101.43 101.43 119.49
Atoms (fractional coordinates):
Ni  0.243  0.757  0.750
Ni  0.757  0.243  0.250
Mo  0.101  0.899  0.250
Mo  0.899  0.101  0.750
Ru  0.422  0.578  0.250
Ru  0.578  0.422  0.750

E above lowest polymorph	59	meV/atom
calculated formation energy	3	meV per atom
total magnetic moment	0.00	μB/f.u.



What is the total magnetic moment in the second record? 0.00 μB/f.u.